1.
AgPdS2 | PBE-GGA | optimized geometry

Cell: 5.544 5.544 11.360 Å, 90.00 90.00 90.00°
Space group I-42d (No. 122)
Inequivalent atoms, fractional coordinates:
Ag1 0.000 0.000 0.000 x4
Pd1 0.000 0.000 0.500 x4
S1 0.218 0.250 0.625 x8

Properties
calculated density: 5.30 g/cm3
energy: -4.054 eV/atom

---

2.
AgPd4S | PBE-GGA | optimized geometry

Cell: 5.358 5.529 7.283 Å, 78.99 68.46 89.78°
Space group P-1 (No. 2)
Inequivalent atoms, fractional coordinates:
Ag1 0.095 0.250 0.000 x2
Pd1 0.064 0.105 0.645 x2
Pd2 0.291 0.606 0.644 x2
Pd3 0.327 0.564 0.177 x2
Pd4 0.496 0.064 0.177 x2
S1 0.000 0.500 0.500 x1
S2 0.500 0.000 0.500 x1

Properties
calculated density: 9.56 g/cm3
energy: -4.714 eV/atom

---

3.
AgPd3S | PBE-GGA | optimized geometry

Cell: 5.771 6.850 4.518 Å, 90.00 90.00 90.00°
Space group Pma2 (No. 28)
Inequivalent atoms, fractional coordinates:
Ag1 0.250 0.205 0.000 x2
Pd1 0.000 0.000 0.512 x2
Pd2 0.000 0.500 0.317 x2
Pd3 0.250 0.795 0.010 x2
S1 0.250 0.728 0.517 x2

Properties
calculated density: 8.54 g/cm3
relative energy among the computed polymorphs: 0.00 eV/f.u.

---

4.
AgPd7S2 | PBE-GGA | optimized geometry

Cell: 7.302 15.667 2.994 Å, 90.00 90.00 90.00°
Space group Cmmm (No. 65)
Inequivalent atoms, fractional coordinates:
Ag1 0.000 0.000 0.000 x2
Pd1 0.000 0.242 0.000 x4
Pd2 0.000 0.500 0.500 x2
Pd3 0.194 0.121 0.500 x8
S1 0.000 0.352 0.500 x4

Properties
calculated density: 8.89 g/cm3
energy: -4.778 eV/atom

---

5.
AgPd3S | PBE-GGA | optimized geometry

Cell: 6.1787 6.1787 5.1383 Å, 90.00 90.00 120.00°
Space group P6_3/mmc (No. 194)
Inequivalent atoms, fractional coordinates:
Ag1 0.3333 0.6667 0.2500 x2
Pd1 0.1865 0.3730 0.7500 x6
S1 0.0000 0.0000 0.0000 x2

Properties
calculated density: 8.98 g/cm3
relative energy among the computed polymorphs: 1.18 eV/f.u.

---

6.
Ag2Pd3S2 | PBE-GGA | optimized geometry

Cell: 11.508 3.436 6.900 Å, 90.00 118.86 90.00°
Space group C2/m (No. 12)
Inequivalent atoms, fractional coordinates:
Ag1 0.093 0.000 0.241 x4
Pd1 0.000 0.500 0.500 x2
Pd2 0.140 0.500 0.964 x4
S1 0.164 0.000 0.687 x4

Properties
calculated density: 8.33 g/cm3
energy: -4.296 eV/atom

---

Number 1: DOS at the Fermi energy 12.7 states/eV/cell. Number 2: DOS at the Fermi energy 6.3 states/eV/cell. Number 3: DOS at the Fermi energy 4.4 states/eV/cell. Number 4: DOS at the Fermi energy 11.8 states/eV/cell. Number 5: DOS at the Fermi energy 7.7 states/eV/cell. Number 6: DOS at the Fermi energy 5.6 states/eV/cell.